## Ba3PuTc2N6 (PBE-GGA)

Data for a geometry-optimized Ba3PuTc2N6 structure. Values from VASP.

```
&SYSTEM
  ibrav = 0, nat = 12, ntyp = 4
/
ATOMIC_SPECIES
N 14.01 N.upf
Ba 137.33 Ba.upf
Pu 244.00 Pu.upf
Tc 98.00 Tc.upf
CELL_PARAMETERS angstrom
6.2267 0.0000 0.0000
-3.1133 5.3924 0.0000
0.0000 0.0000 7.3354
ATOMIC_POSITIONS crystal
N 0.3381 0.1690 0.6956
N 0.8310 0.1690 0.6956
N 0.1690 0.8310 0.3044
N 0.8310 0.6619 0.6956
N 0.1690 0.3381 0.3044
N 0.6619 0.8310 0.3044
Ba 0.6667 0.3333 0.2967
Ba 0.0000 0.0000 0.0000
Ba 0.3333 0.6667 0.7033
Pu 0.0000 0.0000 0.5000
Tc 0.6667 0.3333 0.7547
Tc 0.3333 0.6667 0.2453
```

Properties
uncorrected energy: -98.9 eV per cell
formation energy from raw total energies: -0.6756 eV/atom

---

## Ba2PuTc2N6 (PBE-GGA)

Data for a geometry-optimized Ba2PuTc2N6 structure. Values from VASP.

```
&SYSTEM
  ibrav = 0, nat = 11, ntyp = 4
/
ATOMIC_SPECIES
Tc 98.00 Tc.upf
N 14.01 N.upf
Ba 137.33 Ba.upf
Pu 244.00 Pu.upf
CELL_PARAMETERS angstrom
6.1737 0.0000 0.0000
3.0869 5.3466 0.0000
3.0869 1.7822 5.9886
ATOMIC_POSITIONS crystal
Tc 0.5684 0.5684 0.2947
Tc 0.4316 0.4316 0.7053
N 0.2422 0.2422 0.7730
N 0.7578 0.2575 0.2270
N 0.7578 0.7578 0.2270
N 0.7425 0.2422 0.7730
N 0.2422 0.7425 0.7730
N 0.2575 0.7578 0.2270
Ba 0.2248 0.2248 0.3256
Ba 0.7752 0.7752 0.6744
Pu 0.0000 0.0000 0.0000
```

Properties
uncorrected energy: -95.6 eV per cell
formation energy from raw total energies: -0.6113 eV/atom

---

## Ba2PuThN4 (PBE-GGA)

Data for a geometry-optimized Ba2PuThN4 structure. Values from VASP.

```
&SYSTEM
  ibrav = 0, nat = 8, ntyp = 4
/
ATOMIC_SPECIES
N 14.01 N.upf
Th 232.04 Th.upf
Pu 244.00 Pu.upf
Ba 137.33 Ba.upf
CELL_PARAMETERS angstrom
-0.4386 3.0713 -2.0181
-6.2707 -1.1617 -0.4052
1.0982 3.7622 5.4870
ATOMIC_POSITIONS crystal
N 0.5000 0.7851 0.8202
N 0.5000 0.2149 0.1798
N 0.0000 0.2529 0.8208
N 0.0000 0.7471 0.1792
Th 0.5000 0.5000 0.0000
Pu 0.0000 0.0000 0.0000
Ba 0.0000 0.5000 0.5000
Ba 0.5000 0.0000 0.5000
```

Properties
uncorrected energy: -66.9 eV per cell
formation energy from raw total energies: -0.9961 eV/atom

---

## Ba2PuUN5 (PBE-GGA)

Data for a geometry-optimized Ba2PuUN5 structure. Values from VASP.

```
&SYSTEM
  ibrav = 0, nat = 18, ntyp = 4
/
ATOMIC_SPECIES
Ba 137.33 Ba.upf
Pu 244.00 Pu.upf
N 14.01 N.upf
U 238.03 U.upf
CELL_PARAMETERS angstrom
-0.3178 -1.5769 -3.2618
3.3493 -4.9811 4.1092
-11.7450 -4.9708 3.5476
ATOMIC_POSITIONS crystal
Ba 0.8367 0.6734 0.8004
Ba 0.1633 0.3266 0.3004
Ba 0.0749 0.1497 0.6723
Ba 0.9251 0.8503 0.1723
Pu 0.4749 0.9498 0.4442
Pu 0.5251 0.0502 0.9442
N 0.4889 0.9778 0.7982
N 0.6305 0.2609 0.4873
N 0.3148 0.6296 0.4329
N 0.7403 0.4805 0.1278
N 0.6852 0.3704 0.9329
N 0.5111 0.0222 0.2982
N 0.0684 0.1369 0.0309
N 0.3695 0.7391 0.9873
N 0.9316 0.8631 0.5309
N 0.2597 0.5195 0.6278
U 0.2237 0.4474 0.0300
U 0.7763 0.5526 0.5300
```

Properties
uncorrected energy: -158.9 eV per cell
formation energy from raw total energies: -0.9305 eV/atom

---

## BaPu2VN4 (PBE-GGA)

Data for a geometry-optimized BaPu2VN4 structure. Values from VASP.

```
&SYSTEM
  ibrav = 0, nat = 16, ntyp = 4
/
ATOMIC_SPECIES
V 50.94 V.upf
N 14.01 N.upf
Pu 244.00 Pu.upf
Ba 137.33 Ba.upf
CELL_PARAMETERS angstrom
3.4966 0.0000 0.0000
-1.7483 6.1645 0.0000
0.0000 0.0000 11.8606
ATOMIC_POSITIONS crystal
V 0.1749 0.3497 0.2500
V 0.8251 0.6503 0.7500
N 0.0000 0.0000 0.0000
N 0.7473 0.4946 0.8831
N 0.2527 0.5054 0.3831
N 0.7473 0.4946 0.6169
N 0.2527 0.5054 0.1169
N 0.6001 0.2001 0.2500
N 0.3999 0.7999 0.7500
N 0.0000 0.0000 0.5000
Pu 0.3697 0.7393 0.9585
Pu 0.6303 0.2607 0.4585
Pu 0.3697 0.7393 0.5415
Pu 0.6303 0.2607 0.0415
Ba 0.9090 0.8179 0.2500
Ba 0.0910 0.1821 0.7500
```

Properties
uncorrected energy: -163.5 eV per cell
formation energy from raw total energies: -1.0943 eV/atom

---

## BaPuVN3 (PBE-GGA)

Data for a geometry-optimized BaPuVN3 structure. Values from VASP.

```
&SYSTEM
  ibrav = 0, nat = 12, ntyp = 4
/
ATOMIC_SPECIES
Ba 137.33 Ba.upf
V 50.94 V.upf
Pu 244.00 Pu.upf
N 14.01 N.upf
CELL_PARAMETERS angstrom
-0.4535 2.8419 -2.4839
2.0514 -5.5109 -3.7706
-7.5348 -0.7258 0.5452
ATOMIC_POSITIONS crystal
Ba 0.6405 0.2811 0.0713
Ba 0.3595 0.7189 0.9287
V 0.9947 0.9895 0.3111
V 0.0053 0.0105 0.6889
Pu 0.6536 0.3072 0.5641
Pu 0.3464 0.6928 0.4359
N 0.1470 0.2940 0.7711
N 0.4921 0.9842 0.7029
N 0.8530 0.7060 0.2289
N 0.5079 0.0158 0.2971
N 0.1720 0.3441 0.3853
N 0.8280 0.6559 0.6147
```

Properties
uncorrected energy: -111.8 eV per cell
formation energy from raw total energies: -0.9267 eV/atom